# AlWS2Cl (GGA-PBE, relaxed)
# - offset from the most stable computed form (meV/atom) = 553
# - total magnetization (μB per atom) = 0.7716
# - DOS(E_F) (states/eV per cell) = 1.57
data_AlWS2Cl
_cell_length_a 4.710
_cell_length_b 4.710
_cell_length_c 4.372
_cell_angle_alpha 90.00
_cell_angle_beta 90.00
_cell_angle_gamma 90.00
_space_group_name_H-M_alt 'P 4/m m m'
_space_group_IT_number 123
_space_group_name_Hall '-P 4 2'
loop_
_atom_site_label
_atom_site_type_symbol
_atom_site_fract_x
_atom_site_fract_y
_atom_site_fract_z
Al1 Al 0.000 0.000 0.000
W1 W 0.500 0.500 0.500
S1 S 0.000 0.500 0.000
Cl1 Cl 0.000 0.000 0.500



# YAlS2Cl (GGA-PBE, relaxed)
# - offset from the most stable computed form (meV/atom) = 0
# - total magnetization (μB per atom) = 0.0000
# - DOS(E_F) (states/eV per cell) = 2.98
data_YAlS2Cl
_cell_length_a 4.733
_cell_length_b 4.733
_cell_length_c 4.548
_cell_angle_alpha 90.00
_cell_angle_beta 90.00
_cell_angle_gamma 90.00
_space_group_name_H-M_alt 'P 4/m m m'
_space_group_IT_number 123
_space_group_name_Hall '-P 4 2'
loop_
_atom_site_label
_atom_site_type_symbol
_atom_site_fract_x
_atom_site_fract_y
_atom_site_fract_z
Y1 Y 0.000 0.000 0.000
Al1 Al 0.500 0.500 0.500
S1 S 0.000 0.500 0.500
Cl1 Cl 0.500 0.500 0.000



What did the second record say?
# YAlS2Cl (GGA-PBE, relaxed)
# - offset from the most stable computed form (meV/atom) = 0
# - total magnetization (μB per atom) = 0.0000
# - DOS(E_F) (states/eV per cell) = 2.98
data_YAlS2Cl
_cell_length_a 4.733
_cell_length_b 4.733
_cell_length_c 4.548
_cell_angle_alpha 90.00
_cell_angle_beta 90.00
_cell_angle_gamma 90.00
_space_group_name_H-M_alt 'P 4/m m m'
_space_group_IT_number 123
_space_group_name_Hall '-P 4 2'
loop_
_atom_site_label
_atom_site_type_symbol
_atom_site_fract_x
_atom_site_fract_y
_atom_site_fract_z
Y1 Y 0.000 0.000 0.000
Al1 Al 0.500 0.500 0.500
S1 S 0.000 0.500 0.500
Cl1 Cl 0.500 0.500 0.000